Record 1
A crystal of ZrTaRe2 relaxed with PBEsol. Source: Alexandria via LeMat-Bulk, functional meta-GGA SCAN.

```
ZrTaRe2
1.0
3.2036 0.0000 0.0000
0.0000 4.5467 0.0000
0.0000 0.0000 4.5467
Re Zr Ta
2 1 1
Cartesian
0.0000 0.0000 2.2734
0.0000 2.2734 0.0000
1.6018 0.0000 0.0000
1.6018 2.2734 2.2734
```

Summary:
ΔE_f   -0.43 eV/atom

***

Record 2
A crystal of Cr2TeO relaxed with PBEsol. Source: Alexandria via LeMat-Bulk, functional meta-GGA SCAN.

```
Cr2TeO
1.0
-3.9549 2.6684 0.2824
-2.6831 -3.9259 -0.4800
3.2758 -0.0379 5.7935
Cr Te O
4 2 2
Cartesian
-3.6323 -2.0254 1.1786
-3.0274 0.4346 1.4712
1.2062 -0.8015 4.2452
-1.2711 -0.1985 4.2969
-1.3632 -2.2963 2.6074
0.0000 0.0000 0.0000
-1.9991 1.0009 2.9885
-3.3190 -0.6287 -0.0988
```

Summary:
Formation energy without anion corrections   -0.86 eV/atom

***

Record 3
A crystal of MnCrF5 relaxed with PBEsol. Source: Alexandria via LeMat-Bulk, functional meta-GGA SCAN.

```
MnCrF5
1.0
-3.7338 -2.9860 -2.2883
2.0810 -4.8035 -0.8302
-2.7105 -4.8050 4.8201
Mn Cr F
2 2 10
Cartesian
-2.6506 -7.5637 2.1081
-1.7127 -5.0308 -0.4066
0.0000 0.0000 0.0000
-1.3553 -2.4025 2.4100
-1.5988 -3.6204 0.9771
-1.7921 -6.4519 -1.7815
-2.7645 -8.9741 0.7245
-2.5712 -6.1425 3.4831
-0.5180 -8.2303 2.6429
-3.8453 -4.3642 -0.9413
0.2083 -4.5680 -1.1490
-0.8934 -6.3501 1.0231
-4.5716 -8.0265 2.8506
-3.4699 -6.2444 0.6785
```

Summary:
Formation energy without anion corrections   -3.01 eV/atom

***

Record order is preserved below.
Volume: 16.6 16.4 12.7 A^3/atom
Record order is preserved below.
VASP energy: -241.2 -167.4 -150.8 eV/cell